Entry 1:
Computed, not measured: a relaxed Dy2Zn3GaAu4 crystal at the PBE level of DFT.

Cell lengths 4.128, 4.128, 11.644 Å; angles 90.00, 90.00, 90.00 degrees
Atoms (fractional coordinates):
Dy (0.500, 0.000, 0.247)
Dy (0.000, 0.500, 0.753)
Zn (0.000, 0.000, 0.500)
Zn (0.500, 0.000, 0.861)
Zn (0.000, 0.500, 0.139)
Au (0.500, 0.500, 0.000)
Au (0.000, 0.000, 0.000)
Au (0.500, 0.000, 0.646)
Au (0.000, 0.500, 0.354)
Ga (0.500, 0.500, 0.500)

Calculated values
- Energy of formation: -0.5087 eV/atom
- DOS at the Fermi energy: 4.26 states/eV/cell
- Size of the total moment: 0.00 Bohr magnetons per cell



Entry 2:
Computed, not measured: a relaxed RhSeI crystal at the PBE level of DFT.

Cell lengths 3.749, 6.778, 6.771 Å; angles 96.30, 90.00, 90.00 degrees
Atoms (fractional coordinates):
Rh (0.250, 0.766, 0.496)
Rh (0.750, 0.234, 0.504)
Se (0.250, 0.095, 0.684)
Se (0.750, 0.905, 0.316)
I (0.750, 0.603, 0.732)
I (0.250, 0.397, 0.268)

Calculated values
- Electronic total energy: -4.476 eV/atom
- Size of the total moment: 0.00 Bohr magnetons per cell